The following is a DFT calculation (PBE with a Hubbard U) of crystalline Li4Mn3CoO8 at its relaxed geometry.

Results
DFT total energy   -6.363 eV/atom
Space group   No. 2
Offset from the most stable computed form   3.4 meV per atom

a b c (Å): 3.076 5.106 10.138
angles (deg): 100.71 94.80 102.24
Site moments in Bohr magnetons follow the coordinates.
Sites, in units of the cell vectors:
Li 0.751 0.498 0.624  0.00
O 0.356 0.767 0.570  0.01
Li 0.256 0.507 0.877  0.00
Mn 0.498 0.999 0.753  3.86
O 0.856 0.767 0.317  0.01
O 0.859 0.769 0.822  0.01
Li 0.744 0.493 0.123  0.00
Mn 0.502 0.001 0.247  3.86
O 0.363 0.774 0.065  0.03
O 0.644 0.233 0.430  0.01
O 0.141 0.231 0.178  0.01
O 0.144 0.233 0.683  0.01
Co 0.000 0.000 0.000  1.95
O 0.637 0.226 0.935  0.03
Mn 0.000 0.000 0.500  3.87
Li 0.249 0.502 0.376  0.00